Below is a geometry-optimized Ti2MnFeH structure, with properties calculated at the PBE level.

a b c (Å): 4.182 4.182 3.144
angles (deg): 90.00 90.00 90.00
Each line ends with the local moment (μB).
Fractional positions:
H1 0.000 0.000 0.000  0.00
Mn1 0.500 0.500 0.500  0.50
Fe1 0.000 0.000 0.500  0.16
Ti1 0.000 0.500 0.000  -0.16
Ti2 0.500 0.000 0.000  -0.16

Values from the calculation:
Calculated density ... 6.266 Mg/m³
Symmetry ... No. 123
Calculated volume ... 11.0 Å³/atom
Size of the total moment ... 0.3 μB per formula unit
Polymorph energy (0 for the lowest one) ... 0 meV/atom
Density of states at the Fermi level ... 2.36 states/eV/f.u.